(1)
First-principles (PBE-GGA) data for a relaxed SiP2Rh crystal, as listed in Alexandria.

Cell and atoms, written as POSCAR:
```
SiP2Rh
1.0
7.265 0.865 -0.130
5.538 4.782 0.130
-6.212 -3.253 2.092
Si Rh P
1 1 2
direct
0.300 0.800 0.500
0.451 0.451 0.000
0.033 0.033 0.000
0.716 0.216 0.500
```

Values from the calculation:
As for the final energy: -5.858 eV/atom. As for the formation energy from raw total energies: 0.040 eV/atom. As for the size of the total moment: 0.000 μB per atom. For the density, the calculation gives 5.04 g/cm3.



(2)
First-principles (PBE-GGA) data for a relaxed Pr2YAs3Rh12 crystal, as listed in Alexandria.

Cell and atoms, written as POSCAR:
```
Pr2YAs3Rh12
1.0
-1.908 5.597 -3.466
-1.121 -3.233 -5.939
-6.730 -0.870 0.964
Y As Pr Rh
1 3 2 12
direct
0.000 0.000 0.000
0.000 0.000 0.500
0.000 0.500 0.000
0.500 0.000 0.000
0.644 0.644 0.644
0.356 0.356 0.356
0.622 0.622 0.102
0.378 0.378 0.898
0.102 0.622 0.622
0.815 0.815 0.321
0.815 0.321 0.815
0.679 0.185 0.185
0.622 0.102 0.622
0.185 0.679 0.185
0.185 0.185 0.679
0.321 0.815 0.815
0.898 0.378 0.378
0.378 0.898 0.378
```

Values from the calculation:
As for the final energy: -6.829 eV/atom. As for the size of the total moment: 0.000 μB per atom. The energy relative to the elements comes out at -4.74 eV/f.u. For the density, the calculation gives 9.57 g/cm3.